# 1
First-principles (PBE) data for a relaxed ScNiAgSb crystal, as listed in the Open Quantum Materials Database.

The calculation puts the total magnetization at 0.01 μB per formula unit.

The structure belongs to space group F-43m (No. 216); the cell edges are 6.598, 6.598 and 6.598 Å and the angles 90.00°, 90.00° and 90.00°. The asymmetric unit holds Sc at (0.000, 0.000, 0.000), Ni at (0.000, 0.000, 0.500), Ag at (0.250, 0.250, 0.750) and Sb at (0.250, 0.250, 0.250).

---

# 2
First-principles (PBE) data for a relaxed ZrGaI7 crystal, as listed in the Open Quantum Materials Database.

The calculation puts the total magnetization at 0.00 μB per formula unit.

The structure belongs to space group Pc (No. 7); the cell edges are 8.165, 6.928 and 17.590 Å and the angles 90.00°, 99.35° and 90.00°. The asymmetric unit holds Zr at (0.000, 0.079, 0.000), Ga at (0.256, 0.487, 0.140), I at (0.132, 0.144, 0.398), I at (0.246, 0.138, 0.638), I at (0.314, 0.330, 0.010), I at (0.467, 0.377, 0.253), I at (0.744, 0.139, 0.535), I at (0.824, 0.330, 0.899) and I at (0.962, 0.331, 0.140).

---

# 3
First-principles (PBE) data for a relaxed MgHgSeO crystal, as listed in the Open Quantum Materials Database.

The value obtained for the energy relative to the lowest polymorph listed for this composition is 248.1 meV per atom.

The structure belongs to space group P6_3mc (No. 186); the cell edges are 3.6505, 3.6505 and 12.6541 Å and the angles 90.00°, 90.00° and 120.00°. The asymmetric unit holds Mg at (0.3333, 0.6667, 0.0000), Hg at (0.0000, 0.0000, 0.2162), Se at (0.3333, 0.6667, 0.3483) and O at (0.0000, 0.0000, 0.0437).

---

no.,energy (eV per atom)
1,-4.965
2,-3.197
3,-3.515